Density functional theory data (PBE) for a geometry-optimized CsFePCl2 structure.

D(E_F): 4.36 states/eV per cell

Unit cell a=5.386 b=5.386 c=4.378 alpha=90.00 beta=90.00 gamma=90.00
Space group P4/mmm (No. 123)
Symmetry-distinct sites (fractional):
Cs 0.000 0.000 0.000 [1 per cell]
Fe 0.500 0.500 0.500 [1 per cell]
P 0.500 0.500 0.000 [1 per cell]
Cl 0.000 0.500 0.500 [2 per cell]


Density functional theory data (PBE) for a geometry-optimized CsFeP2Cl structure.

D(E_F): 1.79 states/eV per cell

Unit cell a=4.392 b=4.392 c=7.102 alpha=90.00 beta=90.00 gamma=90.00
Space group P4/mmm (No. 123)
Symmetry-distinct sites (fractional):
Cs 0.000 0.000 0.000 [1 per cell]
Fe 0.500 0.500 0.500 [1 per cell]
P 0.000 0.500 0.500 [2 per cell]
Cl 0.500 0.500 0.000 [1 per cell]


Density functional theory data (PBE) for a geometry-optimized CsFe2PbCl8 structure.

D(E_F): 17.04 states/eV per cell

Unit cell a=10.934 b=7.514 c=10.453 alpha=90.00 beta=97.56 gamma=90.00
Space group C2/m (No. 12)
Symmetry-distinct sites (fractional):
Cs 0.000 0.000 0.000 [2 per cell]
Fe 0.106 0.500 0.285 [4 per cell]
Pb 0.000 0.000 0.500 [2 per cell]
Cl 0.017 0.256 0.713 [8 per cell]
Cl 0.188 0.500 0.103 [4 per cell]
Cl 0.232 0.500 0.473 [4 per cell]


Density functional theory data (PBE) for a geometry-optimized CsFePb2Cl8 structure.

D(E_F): 10.67 states/eV per cell

Unit cell a=6.668 b=7.305 c=8.236 alpha=72.16 beta=89.20 gamma=89.43
Space group P-1 (No. 2)
Symmetry-distinct sites (fractional):
Cs 0.000 0.000 0.000 [1 per cell]
Fe 0.000 0.500 0.500 [1 per cell]
Pb 0.470 0.476 0.262 [2 per cell]
Cl 0.037 0.456 0.236 [2 per cell]
Cl 0.239 0.734 0.425 [2 per cell]
Cl 0.243 0.274 0.605 [2 per cell]
Cl 0.490 0.769 0.952 [2 per cell]


Density functional theory data (PBE) for a geometry-optimized CsPrFeCl6 structure.

D(E_F): 13.76 states/eV per cell

Unit cell a=6.933 b=12.014 c=7.729 alpha=90.00 beta=90.05 gamma=90.00
Space group C2 (No. 5)
Symmetry-distinct sites (fractional):
Cs 0.000 0.000 0.000 [2 per cell]
Pr 0.000 0.334 0.500 [2 per cell]
Fe 0.000 0.667 0.500 [2 per cell]
Cl 0.120 0.514 0.696 [4 per cell]
Cl 0.167 0.804 0.694 [4 per cell]
Cl 0.210 0.181 0.693 [4 per cell]


Density functional theory data (PBE) for a geometry-optimized CsPuFeCl6 structure.

D(E_F): 13.58 states/eV per cell

Unit cell a=6.7309 b=6.7309 c=7.9506 alpha=90.00 beta=90.00 gamma=120.00
Space group P312 (No. 149)
Symmetry-distinct sites (fractional):
Cs 0.0000 0.0000 0.0000 [1 per cell]
Pu 0.6667 0.3333 0.5000 [1 per cell]
Fe 0.3333 0.6667 0.5000 [1 per cell]
Cl 0.0265 0.3768 0.6846 [6 per cell]


Density functional theory data (PBE) for a geometry-optimized CsRbFe2Cl8 structure.

Unit cell a=10.909 b=7.444 c=11.437 alpha=90.00 beta=92.42 gamma=90.00
Space group C2/m (No. 12)
Symmetry-distinct sites (fractional):
Cs 0.000 0.000 0.000 [2 per cell]
Rb 0.000 0.000 0.500 [2 per cell]
Fe 0.077 0.500 0.258 [4 per cell]
Cl 0.041 0.258 0.742 [8 per cell]
Cl 0.178 0.500 0.095 [4 per cell]
Cl 0.191 0.500 0.422 [4 per cell]


Density functional theory data (PBE) for a geometry-optimized CsRb3Fe4Cl12 structure.

Unit cell a=15.2614 b=15.2614 c=12.7316 alpha=90.00 beta=90.00 gamma=120.00
Space group R32 (No. 155, hexagonal axes)
Symmetry-distinct sites (fractional):
Cs 0.0000 0.0000 0.0000 [3 per cell]
Rb 0.0000 0.5355 0.0000 [9 per cell]
Fe 0.0000 0.0000 0.5000 [3 per cell]
Fe 0.0000 0.4605 0.5000 [9 per cell]
Cl 0.0000 0.6049 0.5000 [9 per cell]
Cl 0.0000 0.8557 0.5000 [9 per cell]
Cl 0.0151 0.2016 0.1646 [18 per cell]


Number 1: calculated total energy -4.23 eV per atom. Number 2: calculated total energy -4.62 eV per atom. Number 3: calculated total energy -4.12 eV per atom. Number 4: calculated total energy -3.74 eV per atom. Number 5: calculated total energy -4.49 eV per atom. Number 6: calculated total energy -5.41 eV per atom. Number 7: calculated total energy -4.04 eV per atom. Number 8: calculated total energy -4.17 eV per atom.